The following is a PBE calculation of Y2Se2Cl after structural relaxation, from Alexandria via LeMat-Bulk.

Unit cell a=7.8171 b=7.8171 c=3.7980 alpha=90.00 beta=90.00 gamma=90.00
Fractional positions:
Y  0.3450  0.8450  0.0000
Y  0.8450  0.6550  0.0000
Y  0.6550  0.1550  0.0000
Y  0.1550  0.3450  0.0000
Se  0.1429  0.6429  0.5000
Se  0.6429  0.8571  0.5000
Se  0.8571  0.3571  0.5000
Se  0.3571  0.1429  0.5000
Cl  0.0000  0.0000  0.0000
Cl  0.5000  0.5000  0.0000

Computed properties:
total moment	0.000	μB/cell
density of states at the Fermi level	1.1	states/eV/f.u.
E_form (uncorrected)	-1874	meV/atom

=====

The following is a PBE calculation of Y2SeCl2 after structural relaxation, from Alexandria via LeMat-Bulk.

Unit cell a=4.0178 b=4.0155 c=10.7386 alpha=80.37 beta=79.22 gamma=59.98
Fractional positions:
Y  0.7216  0.2063  0.3506
Y  0.2784  0.7937  0.6494
Se  0.0000  0.5000  0.5000
Cl  0.4448  0.9134  0.1970
Cl  0.5552  0.0866  0.8030

Computed properties:
total moment	0.000	μB/cell
density of states at the Fermi level	2.6	states/eV/f.u.
E_form (uncorrected)	-1904	meV/atom

=====

The following is a PBE calculation of YSeCl2 after structural relaxation, from Alexandria via LeMat-Bulk.

Unit cell a=7.3999 b=7.3999 c=7.3510 alpha=45.37 beta=45.37 gamma=28.93
Fractional positions:
Y  0.2771  0.2771  0.0707
Se  0.5627  0.5627  0.4998
Cl  0.9054  0.9054  0.0896
Cl  0.7548  0.7548  0.8398

Computed properties:
total moment	0.849	μB/cell
density of states at the Fermi level	1.5	states/eV/f.u.
E_form (uncorrected)	-1598	meV/atom

=====

The following is a PBE calculation of YSeCl2 after structural relaxation, from Alexandria via LeMat-Bulk.

Unit cell a=4.5512 b=4.5512 c=10.0618 alpha=76.93 beta=76.93 gamma=90.00
Fractional positions:
Y  0.0000  0.0000  0.0000
Y  0.7500  0.2500  0.5000
Se  0.5000  0.5000  0.0000
Se  0.2500  0.7500  0.5000
Cl  0.6611  0.1250  0.2500
Cl  0.0889  0.6250  0.2500
Cl  0.3750  0.3389  0.7500
Cl  0.8750  0.9111  0.7500

Computed properties:
total moment	1.932	μB/cell
density of states at the Fermi level	0.9	states/eV/f.u.
E_form (uncorrected)	-1202	meV/atom

=====

The following is a PBE calculation of YSeCl2 after structural relaxation, from Alexandria via LeMat-Bulk.

Unit cell a=3.7444 b=7.2682 c=7.2684 alpha=46.88 beta=90.00 gamma=90.00
Fractional positions:
Y  0.5000  0.7500  0.7500
Se  0.5000  0.2500  0.2500
Cl  0.0000  0.8892  0.8892
Cl  0.0000  0.6108  0.6108

Computed properties:
total moment	0.356	μB/cell
density of states at the Fermi level	3.0	states/eV/f.u.
E_form (uncorrected)	-1590	meV/atom

=====

The following is a PBE calculation of YSeCl2 after structural relaxation, from Alexandria via LeMat-Bulk.

Unit cell a=4.1306 b=4.4779 c=5.9511 alpha=61.01 beta=90.00 gamma=90.00
Fractional positions:
Y  0.5000  0.8931  0.7072
Se  0.0000  0.4896  0.5694
Cl  0.0000  0.8736  0.0202
Cl  0.5000  0.2437  0.2031

Computed properties:
total moment	0.000	μB/cell
density of states at the Fermi level	1.0	states/eV/f.u.
E_form (uncorrected)	-1458	meV/atom